1.
La3Pr3Tl2 | GGA-PBE | optimized geometry

size of the total moment: 0.00 μB per formula unit
formation energy from the elements: -227 meV/atom
D(E_F): 1.59 states/eV/atom
calculated volume: 32.17 Å³ per atom
E above lowest polymorph: 0 meV/atom

```
La3Pr3Tl2
1.0
5.097 0.000 0.000
0.000 5.043 0.000
0.000 0.000 10.012
La Pr Tl
3 3 2
Cartesian
2.549 2.522 2.498
2.549 2.522 7.514
2.549 0.000 0.000
0.000 2.522 0.000
2.549 0.000 5.006
0.000 2.522 5.006
0.000 0.000 2.514
0.000 0.000 7.497
```

2.
LaPr4Tl5 | GGA-PBE | optimized geometry

size of the total moment: 0.00 μB per formula unit
formation energy from the elements: -401 meV/atom
D(E_F): 0.93 states/eV/atom
calculated volume: 30.68 Å³ per atom

```
LaPr4Tl5
1.0
-3.065 -2.051 -1.348
1.748 -3.338 1.105
-8.730 1.332 17.830
Tl Pr La
5 4 1
Cartesian
-5.024 -2.029 8.793
-3.290 -2.293 5.252
-8.489 -1.500 15.870
-1.559 -2.557 1.717
-6.758 -1.764 12.335
-1.764 0.269 3.603
-3.497 0.533 7.142
-5.233 0.798 10.688
-6.966 1.062 14.226
0.000 0.000 0.000
```

3.
La8Pr6Tl | GGA-PBE | optimized geometry

size of the total moment: 0.00 μB per formula unit
formation energy from the elements: 13 meV/atom
D(E_F): 1.73 states/eV/atom
calculated volume: 35.44 Å³ per atom

```
La8Pr6Tl
1.0
8.041 0.223 4.034
2.584 7.618 4.034
0.302 0.223 8.991
La Pr Tl
8 6 1
Cartesian
4.012 6.940 7.286
3.351 1.788 10.146
4.608 3.401 7.194
8.089 2.675 6.691
6.914 1.123 9.772
7.575 6.276 6.912
6.318 4.663 9.864
2.838 5.388 10.367
5.850 6.013 13.077
8.527 7.241 10.781
2.171 4.247 4.804
2.400 0.823 6.277
5.077 2.051 3.981
8.755 3.817 12.254
0.000 0.000 0.000
```

4.
La3Pr6Tl2 | GGA-PBE | optimized geometry

size of the total moment: 0.58 μB per formula unit
formation energy from the elements: 81 meV/atom
D(E_F): 1.63 states/eV/atom
calculated volume: 36.78 Å³ per atom

```
La3Pr6Tl2
1.0
-2.770 1.664 3.454
-3.240 -3.294 -1.012
10.841 -10.499 10.513
Tl Pr La
2 6 3
Cartesian
-0.755 -4.064 4.590
5.585 -8.065 8.364
4.946 -11.128 9.327
-0.351 -3.479 1.394
5.181 -8.650 11.560
4.223 -6.097 6.323
0.608 -6.032 6.631
-0.116 -1.001 3.627
2.657 -3.837 3.979
0.000 0.000 0.000
2.173 -8.292 8.975
```

5.
LaPr3Tl6 | GGA-PBE | optimized geometry

size of the total moment: 0.00 μB per formula unit
formation energy from the elements: -335 meV/atom
D(E_F): 0.89 states/eV/atom
calculated volume: 30.21 Å³ per atom

```
LaPr3Tl6
1.0
5.080 0.000 0.000
0.000 10.355 -2.044
0.000 1.089 11.272
Pr Tl La
6 12 2
Cartesian
1.270 6.066 3.390
3.810 2.440 -0.183
3.810 6.856 0.811
1.270 9.004 9.411
1.270 4.588 8.417
3.810 5.379 5.838
3.810 8.307 3.967
3.810 9.795 -0.783
3.810 4.008 2.734
1.270 4.782 0.176
1.270 1.649 10.011
1.270 1.669 2.000
3.810 2.413 7.594
1.270 3.137 5.261
3.810 9.776 7.228
1.270 9.031 1.634
3.810 6.663 9.052
1.270 7.436 6.494
3.810 1.022 4.260
1.270 10.422 4.968
```

6.
LaPr6Tl3 | GGA-PBE | optimized geometry

size of the total moment: 0.00 μB per formula unit
formation energy from the elements: -124 meV/atom
D(E_F): 1.38 states/eV/atom
calculated volume: 34.75 Å³ per atom

```
LaPr6Tl3
1.0
-5.826 -0.329 5.478
5.172 -6.302 5.121
2.038 9.010 2.709
Tl Pr La
6 12 2
Cartesian
-0.947 0.218 8.499
1.610 2.121 5.487
4.041 0.170 9.370
-4.788 2.089 5.942
0.309 4.005 11.479
-1.057 -1.746 3.833
3.303 -5.654 6.618
-0.377 3.533 3.226
4.738 1.397 6.378
1.443 0.159 2.798
-2.439 8.004 7.179
2.993 4.800 6.887
-1.692 1.076 5.367
-0.681 4.255 6.857
-2.100 -2.448 6.881
3.504 -1.795 5.097
1.271 -1.182 10.543
1.604 2.315 8.946
1.075 -3.207 7.823
2.200 5.694 3.708
```